Entry 1:
Below is a geometry-optimized Nd3Y structure, with properties calculated at the PBE level.

Relative energy among the computed polymorphs: 28 meV/atom
Calculated volume: 34.8 Å³ per atom
Electronic total energy: -5.1663 eV per atom
Total magnetization: 0.000 Bohr magnetons per cell

Unit cell a=3.6986 b=11.8139 c=6.3784 alpha=90.00 beta=90.00 gamma=90.00
Space group Imm2 (No. 44)
Inequivalent atoms, fractional coordinates:
Nd 0.0000 0.0000 0.0000
Nd 0.0000 0.2488 0.6672
Y 0.0000 0.5000 0.9993


Entry 2:
Below is a geometry-optimized CoSb2Mo structure, with properties calculated at the PBE level.

Calculated volume: 18.1 Å³ per atom
Electronic total energy: -6.2687 eV per atom
Formation energy without anion corrections: 0.28 eV/atom
Total magnetization: 0.333 Bohr magnetons per cell

Unit cell a=3.1863 b=5.0146 c=4.5277 alpha=90.00 beta=90.00 gamma=90.00
Space group Pmm2 (No. 25)
Inequivalent atoms, fractional coordinates:
Co 0.0000 0.0000 0.0000
Sb 0.0000 0.5000 0.2459
Sb 0.5000 0.0000 0.5220
Mo 0.5000 0.5000 0.7649


Entry 3:
Below is a geometry-optimized EuGd2Hg structure, with properties calculated at the PBE level.

Relative energy among the computed polymorphs: 0 meV/atom
Calculated volume: 29.6 Å³ per atom
Electronic total energy: -9.8094 eV per atom
Total magnetization: 7.881 Bohr magnetons per cell

Unit cell a=4.9290 b=4.9290 c=4.8806 alpha=90.00 beta=90.00 gamma=90.00
Space group P4/mmm (No. 123)
Inequivalent atoms, fractional coordinates:
Eu 0.0000 0.0000 0.0000
Gd 0.0000 0.5000 0.5000
Hg 0.5000 0.5000 0.0000


Entry 4:
Below is a geometry-optimized CaTb2Pr3Nd6 structure, with properties calculated at the PBE level.

Calculated volume: 35.3 Å³ per atom
Electronic total energy: -4.4813 eV per atom
Total magnetization: 0.000 Bohr magnetons per cell

Unit cell a=6.3981 b=11.0909 c=12.1394 alpha=90.00 beta=100.09 gamma=90.00
Space group C2/m (No. 12)
Inequivalent atoms, fractional coordinates:
Ca 0.0000 0.0000 0.0000
Tb 0.0000 0.3332 0.0000
Pr 0.0000 0.1663 0.5000
Pr 0.0000 0.5000 0.5000
Nd 0.2434 0.5000 0.2490
Nd 0.2457 0.3296 0.7516


Entry 5:
Below is a geometry-optimized Li2FeRu structure, with properties calculated at the PBE level.

Relative energy among the computed polymorphs: 54 meV/atom
Calculated volume: 13.2 Å³ per atom
Electronic total energy: -5.1853 eV per atom
Total magnetization: 3.505 Bohr magnetons per cell

Unit cell a=8.3990 b=2.5423 c=4.9571 alpha=90.00 beta=95.23 gamma=90.00
Space group Cm (No. 8)
Inequivalent atoms, fractional coordinates:
Li 0.0000 0.0000 0.0000
Li 0.2434 0.0000 0.7872
Fe 0.2471 0.5000 0.3137
Ru 0.4919 0.0000 0.4783


Entry 6:
Below is a geometry-optimized CsScSn2Pd structure, with properties calculated at the PBE level.

Calculated volume: 37.2 Å³ per atom
Electronic total energy: -2.3509 eV per atom
Total magnetization: 0.000 Bohr magnetons per cell

Unit cell a=5.9858 b=5.9858 c=5.1864 alpha=90.00 beta=90.00 gamma=90.00
Space group P4/mmm (No. 123)
Inequivalent atoms, fractional coordinates:
Cs 0.0000 0.0000 0.0000
Sc 0.0000 0.0000 0.5000
Sn 0.0000 0.5000 0.0000
Pd 0.5000 0.5000 0.5000


Entry 7:
Below is a geometry-optimized BeNi3Se structure, with properties calculated at the PBE level.

Relative energy among the computed polymorphs: 327 meV/atom
Calculated volume: 15.7 Å³ per atom
Electronic total energy: -4.2593 eV per atom
Formation energy without anion corrections: 0.65 eV/atom
Total magnetization: 0.000 Bohr magnetons per cell

Unit cell a=4.2859 b=4.2859 c=4.2859 alpha=90.00 beta=90.00 gamma=90.00
Space group Pm-3m (No. 221)
Inequivalent atoms, fractional coordinates:
Be 0.0000 0.0000 0.0000
Ni 0.0000 0.5000 0.5000
Se 0.5000 0.5000 0.5000


Entry 8:
Below is a geometry-optimized Ti5Se2 structure, with properties calculated at the PBE level.

Calculated volume: 17.0 Å³ per atom
Electronic total energy: -7.2248 eV per atom
Formation energy without anion corrections: -0.59 eV/atom
Total magnetization: 0.000 Bohr magnetons per cell

Unit cell a=13.1850 b=5.7572 c=6.2786 alpha=90.00 beta=94.78 gamma=90.00
Space group C2/c (No. 15)
Inequivalent atoms, fractional coordinates:
Ti 0.0000 0.1206 0.2500
Ti 0.0958 0.4005 0.9414
Ti 0.2195 0.1265 0.2806
Se 0.1058 0.1941 0.5916


total magnetization of number 8 (Ti5Se2)? 0.000 Bohr magnetons per cell